No. 1
Compound: AcPr2Tl
Source: Alexandria via LeMat-Bulk
Functional: GGA-PBE
Structure: optimized geometry

Cell lengths 8.160, 8.160, 8.160 Å; angles 90.00, 90.00, 90.00 degrees
Space group Fm-3m (No. 225)
One atom of each set of equivalent atoms:
1 Ac 0.000 0.000 0.000 (multiplicity 4)
2 Pr 0.250 0.250 0.250 (multiplicity 8)
3 Tl 0.000 0.000 0.500 (multiplicity 4)

Values from the calculation:
- Volume: 33.95 Å³ per atom
- Total DFT energy (no corrections): -4.037 eV/atom
- DFT formation energy: -0.03 eV per atom

No. 2
Compound: AcPr8Tl6
Source: Alexandria via LeMat-Bulk
Functional: GGA-PBE
Structure: optimized geometry

Cell lengths 9.5727, 9.5727, 19.9451 Å; angles 90.00, 90.00, 120.00 degrees
Space group R-3 (No. 148, hexagonal axes)
One atom of each set of equivalent atoms:
1 Ac 0.0000 0.0000 0.0000 (multiplicity 3)
2 Pr 0.0000 0.0000 0.3319 (multiplicity 6)
3 Pr 0.0006 0.3316 0.1119 (multiplicity 18)
4 Tl 0.0008 0.6589 0.0589 (multiplicity 18)

Values from the calculation:
- Volume: 35.17 Å³ per atom
- Total DFT energy (no corrections): -3.940 eV/atom
- DFT formation energy: -0.17 eV per atom

No. 3
Compound: Ac4PrTl
Source: Alexandria via LeMat-Bulk
Functional: GGA-PBE
Structure: optimized geometry

Cell lengths 3.973, 3.973, 15.328 Å; angles 90.00, 90.00, 90.00 degrees
Space group P4/mmm (No. 123)
One atom of each set of equivalent atoms:
1 Ac 0.000 0.000 0.144 (multiplicity 2)
2 Ac 0.500 0.500 0.329 (multiplicity 2)
3 Pr 0.000 0.000 0.500 (multiplicity 1)
4 Tl 0.500 0.500 0.000 (multiplicity 1)

Values from the calculation:
- Volume: 40.33 Å³ per atom
- Total DFT energy (no corrections): -4.024 eV/atom
- DFT formation energy: -0.09 eV per atom